Entry 1:
# Cu2HgMo2

A geometry-optimized Cu2HgMo2 structure (PBE, the Alexandria database).

Output
Volume   16.3 A^3/atom
DOS at the Fermi energy   8.4 states/eV/cell
Formation energy from the elements   0.558 eV per atom

CIF file:
```
data_Cu2HgMo2
_space_group_name_H-M_alt 'P 4/m b m'
_space_group_IT_number 127
_space_group_name_Hall '-P 4 2ab'
_cell_length_a 7.7107
_cell_length_b 7.7107
_cell_length_c 2.7390
_cell_angle_alpha 90.00
_cell_angle_beta 90.00
_cell_angle_gamma 90.00
loop_
_atom_site_label
_atom_site_fract_x
_atom_site_fract_y
_atom_site_fract_z
_atom_site_occupancy
Cu1 0.1777 0.3223 0.0000 1
Hg1 0.0000 0.0000 0.5000 1
Mo1 0.1142 0.6142 0.5000 1
```


Entry 2:
# Pa2TaZnN5

A geometry-optimized Pa2TaZnN5 structure (PBE, the Alexandria database).

Output
Volume   12.3 A^3/atom
Formation energy from raw total energies   -1118 meV/atom
DOS at the Fermi energy   23.7 states/eV/cell

CIF file:
```
data_Pa2TaZnN5
_space_group_name_H-M_alt 'C m c 21'
_space_group_IT_number 36
_space_group_name_Hall 'C 2c -2'
_cell_length_a 3.2909
_cell_length_b 13.4118
_cell_length_c 10.0470
_cell_angle_alpha 90.00
_cell_angle_beta 90.00
_cell_angle_gamma 90.00
loop_
_atom_site_label
_atom_site_fract_x
_atom_site_fract_y
_atom_site_fract_z
_atom_site_occupancy
Pa1 0.0000 0.1162 0.0000 1
Pa2 0.0000 0.1335 0.6063 1
Ta1 0.0000 0.2016 0.3140 1
Zn1 0.0000 0.4839 0.7856 1
N1 0.0000 0.0540 0.3777 1
N2 0.0000 0.2877 0.9654 1
N3 0.0000 0.3057 0.6715 1
N4 0.0000 0.3551 0.3205 1
N5 0.0000 0.4931 0.0886 1
```


Entry 3:
# SmAl2

A geometry-optimized SmAl2 structure (PBE, the Alexandria database).

Output
Volume   22.0 A^3/atom
DOS at the Fermi energy   3.6 states/eV/cell
Formation energy from the elements   -0.252 eV per atom

CIF file:
```
data_SmAl2
_space_group_name_H-M_alt 'I 4/m m m'
_space_group_IT_number 139
_space_group_name_Hall '-I 4 2'
_cell_length_a 3.3989
_cell_length_b 3.3989
_cell_length_c 11.4379
_cell_angle_alpha 90.00
_cell_angle_beta 90.00
_cell_angle_gamma 90.00
loop_
_atom_site_label
_atom_site_fract_x
_atom_site_fract_y
_atom_site_fract_z
_atom_site_occupancy
Sm1 0.0000 0.0000 0.0000 1
Al1 0.0000 0.0000 0.3103 1
```